No. 1
Computed, not measured: crystalline CaMg2Be at its relaxed geometry at the PBE level of DFT.

```
CaMg2Be
1.0
4.621 -0.012 0.003
2.310 4.002 0.003
2.322 1.337 5.184
Ca Mg Be
1 2 1
Cartesian
2.318 1.334 1.401
2.323 1.337 4.596
6.937 3.993 3.443
4.623 2.661 3.529
```

## Properties
* crystal system: monoclinic
* E_form: 0.20 eV/atom
* calculated volume: 96 Å³ per cell

***

No. 2
Computed, not measured: crystalline CaMg2Be at its relaxed geometry at the PBE level of DFT.

```
CaMg2Be
1.0
3.290 0.000 0.000
0.000 3.290 0.000
0.000 0.000 8.164
Mg Be Ca
2 1 1
Cartesian
0.000 0.000 0.240
1.645 1.645 2.435
0.000 0.000 3.808
1.645 1.645 5.764
```

## Properties
* crystal system: tetragonal
* E_form: 0.18 eV/atom
* calculated volume: 88 Å³ per cell

***

No. 3
Computed, not measured: crystalline CaMg2Be at its relaxed geometry at the PBE level of DFT.

```
CaMg2Be
1.0
3.229 0.004 0.000
-0.005 3.229 0.000
0.000 0.000 8.422
Be Mg Ca
1 2 1
Cartesian
1.612 1.616 2.105
0.000 0.000 0.534
0.000 0.000 3.677
1.612 1.616 6.316
```

## Properties
* crystal system: tetragonal
* E_form: 0.21 eV/atom
* calculated volume: 88 Å³ per cell